(1)
# RbGaPt, relaxed, DFT GGA-PBE
# Calculated volume = 28.44 Å³ per atom
data_RbGaPt
_space_group_name_H-M_alt 'F -4 3 m'
_space_group_IT_number 216
_space_group_name_Hall 'F -4 2 3'
_cell_length_a 6.9885
_cell_length_b 6.9885
_cell_length_c 6.9885
_cell_angle_alpha 90.00
_cell_angle_beta 90.00
_cell_angle_gamma 90.00
loop_
_atom_site_label
_atom_site_type_symbol
_atom_site_fract_x
_atom_site_fract_y
_atom_site_fract_z
Rb1 Rb 0.0000 0.0000 0.0000
Ga1 Ga 0.0000 0.0000 0.5000
Pt1 Pt 0.2500 0.2500 0.7500

=====

(2)
# GaRePt, relaxed, DFT GGA-PBE
# Calculated volume = 17.93 Å³ per atom
data_GaRePt
_space_group_name_H-M_alt 'F -4 3 m'
_space_group_IT_number 216
_space_group_name_Hall 'F -4 2 3'
_cell_length_a 5.9920
_cell_length_b 5.9920
_cell_length_c 5.9920
_cell_angle_alpha 90.00
_cell_angle_beta 90.00
_cell_angle_gamma 90.00
loop_
_atom_site_label
_atom_site_type_symbol
_atom_site_fract_x
_atom_site_fract_y
_atom_site_fract_z
Ga1 Ga 0.0000 0.0000 0.0000
Re1 Re 0.2500 0.2500 0.2500
Pt1 Pt 0.0000 0.0000 0.5000

=====

(3)
# Zr2GaSbPt2, relaxed, DFT GGA-PBE
# Calculated volume = 21.09 Å³ per atom
data_Zr2GaSbPt2
_space_group_name_H-M_alt 'I -4 2 d'
_space_group_IT_number 122
_space_group_name_Hall 'I -4 2bw'
_cell_length_a 6.3280
_cell_length_b 6.3280
_cell_length_c 12.6429
_cell_angle_alpha 90.00
_cell_angle_beta 90.00
_cell_angle_gamma 90.00
loop_
_atom_site_label
_atom_site_type_symbol
_atom_site_fract_x
_atom_site_fract_y
_atom_site_fract_z
Zr1 Zr 0.0000 0.0000 0.2449
Ga1 Ga 0.0000 0.0000 0.0000
Sb1 Sb 0.0000 0.0000 0.5000
Pt1 Pt 0.2446 0.2500 0.1250

=====

(4)
# ScGa2Pt2, relaxed, DFT GGA-PBE
# Calculated volume = 17.60 Å³ per atom
data_ScGa2Pt2
_space_group_name_H-M_alt 'I 4/m m m'
_space_group_IT_number 139
_space_group_name_Hall '-I 4 2'
_cell_length_a 3.8453
_cell_length_b 3.8453
_cell_length_c 11.9034
_cell_angle_alpha 90.00
_cell_angle_beta 90.00
_cell_angle_gamma 90.00
loop_
_atom_site_label
_atom_site_type_symbol
_atom_site_fract_x
_atom_site_fract_y
_atom_site_fract_z
Sc1 Sc 0.0000 0.0000 0.0000
Ga1 Ga 0.0000 0.5000 0.2500
Pt1 Pt 0.0000 0.0000 0.3908

=====

Number 1: DFT total energy -3.14 eV per atom. Number 2: DFT total energy -6.76 eV per atom. Number 3: DFT total energy -7.06 eV per atom. Number 4: DFT total energy -5.69 eV per atom.